Density functional theory data (meta-GGA SCAN) for CeInCu2 at its PBEsol-relaxed geometry.

Spin magnetization (Bohr magnetons per cell): 0.7
ΔH_f (0 K) (eV per atom): -0.276

Cell and atoms, written as POSCAR:
```
CeInCu2
1.0
0.000 3.310 3.310
3.310 0.000 3.310
3.310 3.310 0.000
Ce In Cu
1 1 2
direct
0.000 0.000 0.000 Ce
0.500 0.500 0.500 In
0.250 0.250 0.250 Cu
0.750 0.750 0.750 Cu
```

---

Density functional theory data (meta-GGA SCAN) for FeReBr2 at its PBEsol-relaxed geometry.

Formation energy without anion corrections (eV per atom): 0.58
Relative energy among the computed polymorphs (eV per atom): 0.000
Spin magnetization (Bohr magnetons per cell): 1.6

Cell and atoms, written as POSCAR:
```
FeReBr2
1.0
2.968 0.000 0.000
0.000 2.968 0.000
0.000 0.000 8.091
Fe Re Br
1 1 2
direct
0.000 0.000 0.000 Fe
0.500 0.500 0.181 Re
0.000 0.000 0.400 Br
0.500 0.500 0.797 Br
```

---

Density functional theory data (meta-GGA SCAN) for In2SiSb at its PBEsol-relaxed geometry.

Formation energy without anion corrections (eV per atom): 0.43
Relative energy among the computed polymorphs (eV per atom): 0.019
Spin magnetization (Bohr magnetons per cell): 0.0

Cell and atoms, written as POSCAR:
```
In2SiSb
1.0
3.088 -4.775 0.000
3.088 4.775 0.000
-0.776 0.000 3.159
In Si Sb
2 1 1
direct
0.000 0.500 0.000 In
0.500 0.000 0.000 In
0.000 0.000 0.500 Si
0.500 0.500 0.500 Sb
```

---

So what do the calculations give for energy? Going down the list: -27.363, -31.452, -28.083 eV/atom.